1.
An optimized crystal structure of Pr2Sn3Bi3. Source: the Alexandria database, functional GGA-PBE.

Results
Total moment ... 0.00 μB per formula unit
DFT formation energy ... -0.386 eV per atom

a b c (Å): 4.323 8.170 8.170
angles (deg): 120.01 90.00 90.00
Sites, in units of the cell vectors:
Bi (0.500, 0.640, 0.640)
Sn (0.000, 0.783, 0.000)
Sn (0.000, 0.000, 0.783)
Pr (0.000, 0.333, 0.667)
Sn (0.000, 0.217, 0.217)
Bi (0.500, 0.000, 0.360)
Pr (0.000, 0.667, 0.333)
Bi (0.500, 0.360, 0.000)



2.
An optimized crystal structure of Pr3SnBi. Source: the Alexandria database, functional GGA-PBE.

Results
Total moment ... 0.00 μB per formula unit
DFT formation energy ... -0.648 eV per atom

a b c (Å): 9.101 8.688 8.688
angles (deg): 87.86 90.12 90.12
Sites, in units of the cell vectors:
Pr (0.691, 0.929, 0.570)
Pr (0.191, 0.570, 0.929)
Sn (0.375, 0.824, 0.709)
Bi (0.750, 0.165, 0.835)
Pr (0.083, 0.699, 0.510)
Pr (0.309, 0.071, 0.430)
Bi (0.250, 0.835, 0.165)
Pr (0.917, 0.301, 0.490)
Pr (0.417, 0.490, 0.301)
Pr (0.583, 0.510, 0.699)
Pr (0.085, 0.016, 0.816)
Pr (0.809, 0.430, 0.071)
Sn (0.125, 0.291, 0.176)
Bi (0.750, 0.644, 0.356)
Sn (0.875, 0.709, 0.824)
Pr (0.585, 0.816, 0.016)
Pr (0.915, 0.984, 0.184)
Bi (0.250, 0.356, 0.644)
Sn (0.625, 0.176, 0.291)
Pr (0.415, 0.184, 0.984)



3.
An optimized crystal structure of PrSnBi2. Source: the Alexandria database, functional GGA-PBE.

Results
Energy above the most stable polymorph in this dataset ... 641 meV/atom
Total moment ... 0.00 μB per formula unit
DFT formation energy ... 0.173 eV per atom

a b c (Å): 3.873 3.873 11.093
angles (deg): 79.95 79.95 60.00
Sites, in units of the cell vectors:
Sn (0.500, 0.500, 0.500)
Bi (0.099, 0.099, 0.703)
Bi (0.901, 0.901, 0.297)
Pr (0.000, 0.000, 0.000)